This record from Alexandria describes Ta2WF after structural relaxation. The functional is GGA+U.

Lattice parameters (Å, degrees): 7.3097 7.3097 7.3097 140.43 140.43 57.20
Last column: nearest neighbours and their distance in Å.
Fractional coordinates of all 8 atoms:
Ta 0.0091 0.6250 0.8841  2 F 2.13
Ta 0.3750 0.2591 0.3841  2 F 2.13
Ta 0.7409 0.1250 0.1159  2 F 2.13
Ta 0.8750 0.9909 0.6159  2 F 2.13
W 0.2500 0.7500 0.5000  4 Ta 2.72
W 0.5000 0.5000 0.0000  4 Ta 2.72
F 0.0000 0.0000 0.0000  4 Ta 2.13
F 0.7500 0.2500 0.5000  4 Ta 2.13

Output
The magnetization is 0.98 μB/f.u. As for the energy above the most stable polymorph in this dataset: 0.529 eV/atom. The value obtained for the mass density is 11935 kg/m3. As for the space group: I-42d.